Entry 1:
Computed, not measured: an optimized crystal structure of In2HgCl8 at the PBE-GGA level of DFT.

Cell lengths 12.913, 9.378, 6.539 Å; angles 90.00, 97.17, 90.00 degrees
Space group C2/m (No. 12)
Inequivalent atoms, fractional coordinates:
In (0.203, 0.000, 0.160)
Hg (0.000, 0.000, 0.500)
Cl (0.098, 0.190, 0.286)
Cl (0.120, 0.500, 0.716)
Cl (0.186, 0.000, 0.789)

## Properties
As for the energy above the most stable polymorph in this dataset: 0.28 eV per formula unit. As for the energy relative to the elements, uncorrected: -0.8964 eV per atom. Its energy is -30.41 eV/f.u. The theoretical density comes out at 3.02 g cm⁻³.


Entry 2:
Computed, not measured: an optimized crystal structure of YMo2Rh at the PBE-GGA level of DFT.

Cell lengths 3.996, 4.019, 8.865 Å; angles 90.00, 90.00, 90.00 degrees
Space group Cmmm (No. 65)
Inequivalent atoms, fractional coordinates:
Y (0.000, 0.000, 0.000)
Mo (0.000, 0.500, 0.285)
Rh (0.000, 0.000, 0.500)

## Properties
As for the energy above the most stable polymorph in this dataset: 1.24 eV per formula unit. For the formation enthalpy at 0 K, the calculation gives 276 meV per atom. Its energy is -34.37 eV/f.u. The theoretical density comes out at 8.95 g cm⁻³.


Entry 3:
Computed, not measured: an optimized crystal structure of K2SrTlI5 at the PBE-GGA level of DFT.

Cell lengths 6.240, 6.240, 13.047 Å; angles 90.00, 90.00, 90.00 degrees
Space group P4/mmm (No. 123)
Inequivalent atoms, fractional coordinates:
K (0.000, 0.000, 0.226)
Sr (0.500, 0.500, 0.000)
Tl (0.500, 0.500, 0.500)
I (0.000, 0.000, 0.500)
I (0.000, 0.500, 0.000)
I (0.500, 0.500, 0.249)

## Properties
As for the energy relative to the elements, uncorrected: -1.2442 eV per atom. Its energy is -25.19 eV/f.u. The theoretical density comes out at 3.28 g cm⁻³.


Entry 4:
Computed, not measured: an optimized crystal structure of GeAsNO2 at the PBE-GGA level of DFT.

Cell lengths 3.677, 3.677, 3.970 Å; angles 90.00, 90.00, 90.00 degrees
Space group P4/mmm (No. 123)
Inequivalent atoms, fractional coordinates:
Ge (0.000, 0.000, 0.000)
As (0.500, 0.500, 0.500)
N (0.000, 0.000, 0.500)
O (0.000, 0.500, 0.000)

## Properties
As for the energy relative to the elements, uncorrected: -0.0582 eV per atom. Its energy is -27.80 eV/f.u. The theoretical density comes out at 5.99 g cm⁻³.


Entry 5:
Computed, not measured: an optimized crystal structure of HoIr2Rh at the PBE-GGA level of DFT.

Cell lengths 5.248, 6.851, 9.337 Å; angles 90.00, 90.00, 90.00 degrees
Space group Pmma (No. 51)
Inequivalent atoms, fractional coordinates:
Ho (0.250, 0.000, 0.113)
Ho (0.250, 0.500, 0.279)
Ir (0.000, 0.000, 0.500)
Ir (0.000, 0.500, 0.000)
Ir (0.250, 0.310, 0.542)
Rh (0.250, 0.000, 0.775)
Rh (0.250, 0.500, 0.769)

## Properties
As for the energy above the most stable polymorph in this dataset: 2.59 eV per formula unit. For the formation enthalpy at 0 K, the calculation gives 172 meV per atom. Its energy is -28.96 eV/f.u. The theoretical density comes out at 12.91 g cm⁻³.


Entry 6:
Computed, not measured: an optimized crystal structure of ZnH2O at the PBE-GGA level of DFT.

Cell lengths 2.688, 2.690, 6.840 Å; angles 93.31, 93.25, 115.41 degrees
Space group P1 (No. 1)
Inequivalent atoms, fractional coordinates:
Zn (0.000, 0.000, 0.000)
H (0.382, 0.071, 0.565)
H (0.919, 0.611, 0.434)
O (0.013, 0.979, 0.500)

## Properties
As for the energy above the most stable polymorph in this dataset: 0.39 eV per formula unit. Its energy is -15.29 eV/f.u. The theoretical density comes out at 3.12 g cm⁻³.


Entry 7:
Computed, not measured: an optimized crystal structure of Ho4ZnIn3 at the PBE-GGA level of DFT.

Cell lengths 3.591, 3.591, 15.653 Å; angles 90.00, 90.00, 90.00 degrees
Space group P4/mmm (No. 123)
Inequivalent atoms, fractional coordinates:
Ho (0.000, 0.000, 0.110)
Ho (0.000, 0.000, 0.369)
Zn (0.500, 0.500, 0.000)
In (0.500, 0.500, 0.238)
In (0.500, 0.500, 0.500)

## Properties
As for the energy above the most stable polymorph in this dataset: 0.00 eV per formula unit. For the formation enthalpy at 0 K, the calculation gives -438 meV per atom. Its energy is -31.30 eV/f.u. The theoretical density comes out at 8.80 g cm⁻³.


Entry 8:
Computed, not measured: an optimized crystal structure of Tb4Sm3Y at the PBE-GGA level of DFT.

Cell lengths 11.455, 7.323, 6.323 Å; angles 90.00, 90.00, 90.00 degrees
Space group Pmn2_1 (No. 31)
Inequivalent atoms, fractional coordinates:
Tb (0.000, 0.123, 0.000)
Tb (0.000, 0.876, 0.501)
Tb (0.249, 0.123, 0.333)
Sm (0.000, 0.627, 0.000)
Sm (0.250, 0.374, 0.835)
Y (0.000, 0.373, 0.499)

## Properties
As for the energy above the most stable polymorph in this dataset: 0.00 eV per formula unit. For the formation enthalpy at 0 K, the calculation gives 18 meV per atom. Its energy is -39.00 eV/f.u. The theoretical density comes out at 7.36 g cm⁻³.